#A
A plane-wave DFT calculation with GGA-PBE was carried out for an optimized crystal structure of OsPbBr2.

Results
- N(E_F) (states/eV/cell) = 1.416
- total magnetization (μB/cell) = 0.0
- SG = Cmmm

a = 6.9181 Å, b = 6.9181 Å, c = 3.8352 Å
α = 90.00°, β = 90.00°, γ = 134.74°
Fractional positions:
Os1 0.0000 0.0000 0.0000
Pb1 0.5000 0.5000 0.0000
Br1 0.1327 0.8673 0.5000
Br2 0.8673 0.1327 0.5000

#B
A plane-wave DFT calculation with GGA-PBE was carried out for an optimized crystal structure of OsPbBr2.

Results
- N(E_F) (states/eV/cell) = 1.566
- total magnetization (μB/cell) = 0.0
- SG = R-3m

a = 10.5564 Å, b = 10.5564 Å, c = 10.5564 Å
α = 20.21°, β = 20.21°, γ = 20.21°
Fractional positions:
Os1 0.0000 0.0000 0.0000
Pb1 0.5000 0.5000 0.5000
Br1 0.2902 0.2902 0.2902
Br2 0.7098 0.7098 0.7098

Which structure is the least stable? The one labeled #B.

#A
A plane-wave DFT calculation with GGA-PBE was carried out for an optimized crystal structure of OsPbBr2.

Results
- N(E_F) (states/eV/cell) = 2.934
- total magnetization (μB/cell) = 2.2
- SG = F-43m

a = 5.1394 Å, b = 5.1394 Å, c = 5.1394 Å
α = 60.00°, β = 60.00°, γ = 60.00°
Fractional positions:
Os1 0.0000 0.0000 0.0000
Pb1 0.7500 0.7500 0.7500
Br1 0.2500 0.2500 0.2500
Br2 0.5000 0.5000 0.5000

#B
A plane-wave DFT calculation with GGA-PBE was carried out for an optimized crystal structure of OsPbBr2.

Results
- N(E_F) (states/eV/cell) = 4.372
- total magnetization (μB/cell) = 0.0
- SG = R-3m

a = 10.5869 Å, b = 10.5869 Å, c = 10.5869 Å
α = 17.67°, β = 17.67°, γ = 17.67°
Fractional positions:
Os1 0.0000 0.0000 0.0000
Pb1 0.5000 0.5000 0.5000
Br1 0.0759 0.0759 0.0759
Br2 0.9241 0.9241 0.9241

#C
A plane-wave DFT calculation with GGA-PBE was carried out for an optimized crystal structure of OsPbBr2.

Results
- N(E_F) (states/eV/cell) = 3.531
- total magnetization (μB/cell) = 0.0
- SG = Cm

a = 7.2969 Å, b = 7.2969 Å, c = 4.6366 Å
α = 108.12°, β = 108.12°, γ = 25.52°
Fractional positions:
Os1 0.0000 0.0000 0.0000
Pb1 0.3198 0.3198 0.8100
Br1 0.4783 0.4783 0.4720
Br2 0.6584 0.6584 0.1500

Which structure is the least stable? The one labeled #A.

#A
A plane-wave DFT calculation with GGA-PBE was carried out for an optimized crystal structure of OsPbBr2.

Results
- N(E_F) (states/eV/cell) = 2.195
- total magnetization (μB/cell) = 0.0
- SG = P4/mmm

a = 5.0215 Å, b = 5.0215 Å, c = 3.4999 Å
α = 90.00°, β = 90.00°, γ = 90.00°
Fractional positions:
Os1 0.0000 0.0000 0.0000
Pb1 0.5000 0.5000 0.0000
Br1 0.0000 0.5000 0.5000
Br2 0.5000 0.0000 0.5000

#B
A plane-wave DFT calculation with GGA-PBE was carried out for an optimized crystal structure of OsPbBr2.

Results
- N(E_F) (states/eV/cell) = 2.780
- total magnetization (μB/cell) = 0.9
- SG = P4mm

a = 3.4328 Å, b = 3.4328 Å, c = 8.4381 Å
α = 90.00°, β = 90.00°, γ = 90.00°
Fractional positions:
Os1 0.0000 0.0000 0.0000
Pb1 0.5000 0.5000 0.2612
Br1 0.0000 0.0000 0.5023
Br2 0.5000 0.5000 0.8806

#C
A plane-wave DFT calculation with GGA-PBE was carried out for an optimized crystal structure of OsPbBr2.

Results
- N(E_F) (states/eV/cell) = 1.163
- total magnetization (μB/cell) = 0.0
- SG = R-3m

a = 10.2704 Å, b = 10.2704 Å, c = 10.2704 Å
α = 20.89°, β = 20.89°, γ = 20.89°
Fractional positions:
Os1 0.0000 0.0000 0.0000
Pb1 0.5000 0.5000 0.5000
Br1 0.3773 0.3773 0.3773
Br2 0.6227 0.6227 0.6227

Which structure is the least stable? The one labeled #A.

#A
A plane-wave DFT calculation with GGA-PBE was carried out for an optimized crystal structure of OsPbBr2.

Results
- N(E_F) (states/eV/cell) = 5.394
- total magnetization (μB/cell) = 2.3
- SG = I-4m2

a = 6.3169 Å, b = 6.3169 Å, c = 6.3169 Å
α = 141.02°, β = 141.02°, γ = 56.30°
Fractional positions:
Os1 0.0000 0.0000 0.0000
Pb1 0.2500 0.7500 0.5000
Br1 0.5000 0.5000 0.0000
Br2 0.7500 0.2500 0.5000

#B
A plane-wave DFT calculation with GGA-PBE was carried out for an optimized crystal structure of OsPbBr2.

Results
- N(E_F) (states/eV/cell) = 0.070
- total magnetization (μB/cell) = 0.0
- SG = I-42d

a = 6.8767 Å, b = 6.8767 Å, c = 6.8767 Å
α = 98.83°, β = 98.83°, γ = 133.87°
Fractional positions:
Os1 0.0000 0.0000 0.0000
Os2 0.7500 0.2500 0.5000
Pb1 0.2500 0.7500 0.5000
Pb2 0.5000 0.5000 0.0000
Br1 0.3750 0.2491 0.3741
Br2 0.7509 0.1250 0.1259
Br3 0.8750 0.0009 0.6259
Br4 0.9991 0.6250 0.8741

Which structure is the least stable? The one labeled #A.